Entry from the Alexandria database: crystalline NdAl2InAu4 at its relaxed geometry (PBE-GGA).

Cell and atoms, written as extended XYZ:
```
8
Lattice="2.205 1.273 9.868 -2.205 1.273 9.868 0.000 -2.547 9.868" Properties=species:S:1:pos:R:3 pbc="T T T"
Nd 0.000 0.000 0.000
Al 0.000 0.000 7.359
Al 0.000 0.000 22.246
In 0.000 0.000 14.803
Au 0.000 0.000 3.472
Au 0.000 0.000 11.683
Au 0.000 0.000 17.922
Au 0.000 0.000 26.133
```

volume = 20.79 A^3/atom
SG = R-3m, No. 166
DOS(E_F) = 2.645 states/eV per cell
DFT formation energy = -498 meV per atom